The following is a PBE calculation of a geometry-optimized TiB3Mo structure, from Alexandria via LeMat-Bulk.

Results
- formation energy (eV per formula unit) = 7.366
- offset from the most stable computed form (eV/atom) = 2.078
- calculated total energy (eV per cell) = -31.39
- crystal system = cubic

Cell: 3.904 3.904 3.904 Å, 90.00 90.00 90.00°
Sites, in units of the cell vectors:
B1 0.500 0.000 0.000
B2 0.000 0.500 0.000
B3 0.000 0.000 0.500
Mo1 0.500 0.500 0.500
Ti1 0.000 0.000 0.000